# 1
# Ac2DyAlO6, relaxed, DFT GGA-PBE
data_Ac2DyAlO6
_chemical_formula_sum 'Ac2 Dy1 Al1 O6'
_cell_length_a 5.623
_cell_length_b 5.623
_cell_length_c 4.743
_cell_angle_alpha 90.00
_cell_angle_beta 90.00
_cell_angle_gamma 90.00
_space_group_name_H-M_alt 'P 1'
_space_group_IT_number 1
loop_
_space_group_symop_operation_xyz
'x,y,z'
loop_
_atom_site_label
_atom_site_type_symbol
_atom_site_fract_x
_atom_site_fract_y
_atom_site_fract_z
Ac1 Ac 0.000 0.500 0.000
Ac2 Ac 0.500 0.000 0.000
Dy1 Dy 0.000 0.000 0.555
Al1 Al 0.500 0.500 0.564
O1 O 0.000 0.000 0.095
O2 O 0.269 0.269 0.668
O3 O 0.269 0.731 0.668
O4 O 0.500 0.500 0.183
O5 O 0.731 0.269 0.668
O6 O 0.731 0.731 0.668
# spin magnetization = 0.0 Bohr magnetons per cell
# symmetry = P4mm
# theoretical density = 8.19 Mg/m³
# DFT total energy = -78.78 eV for the cell shown
# N(E_F) = 0.00 states/eV/f.u.


# 2
# Ca2La2Ru, relaxed, DFT GGA-PBE
data_Ca2La2Ru
_chemical_formula_sum 'Ca2 La2 Ru1'
_cell_length_a 5.473
_cell_length_b 5.473
_cell_length_c 5.942
_cell_angle_alpha 90.00
_cell_angle_beta 90.00
_cell_angle_gamma 90.00
_space_group_name_H-M_alt 'P 1'
_space_group_IT_number 1
loop_
_space_group_symop_operation_xyz
'x,y,z'
loop_
_atom_site_label
_atom_site_type_symbol
_atom_site_fract_x
_atom_site_fract_y
_atom_site_fract_z
Ca1 Ca 0.000 0.000 0.000
Ca2 Ca 0.500 0.500 0.000
La1 La 0.000 0.500 0.500
La2 La 0.500 0.000 0.500
Ru1 Ru 0.000 0.000 0.500
# spin magnetization = 0.0 Bohr magnetons per cell
# symmetry = P4/mmm
# theoretical density = 4.28 Mg/m³
# E_form = -0.14 eV per atom
# DFT total energy = -23.82 eV for the cell shown
# N(E_F) = 4.20 states/eV/f.u.


# 3
# SrZr2BiPb, relaxed, DFT GGA-PBE
data_SrZr2BiPb
_chemical_formula_sum 'Sr1 Zr2 Bi1 Pb1'
_cell_length_a 5.913
_cell_length_b 5.913
_cell_length_c 6.027
_cell_angle_alpha 90.00
_cell_angle_beta 90.00
_cell_angle_gamma 90.00
_space_group_name_H-M_alt 'P 1'
_space_group_IT_number 1
loop_
_space_group_symop_operation_xyz
'x,y,z'
loop_
_atom_site_label
_atom_site_type_symbol
_atom_site_fract_x
_atom_site_fract_y
_atom_site_fract_z
Sr1 Sr 0.000 0.000 0.000
Zr1 Zr 0.000 0.500 0.500
Zr2 Zr 0.500 0.000 0.500
Bi1 Bi 0.000 0.000 0.500
Pb1 Pb 0.500 0.500 0.000
# spin magnetization = 2.8 Bohr magnetons per cell
# symmetry = P4/mmm
# theoretical density = 5.41 Mg/m³
# E_form = 0.68 eV per atom
# DFT total energy = -22.96 eV for the cell shown
# N(E_F) = 4.41 states/eV/f.u.


# 4
# KSi2Pb, relaxed, DFT GGA-PBE
data_KSi2Pb
_chemical_formula_sum 'K1 Si2 Pb1'
_cell_length_a 7.312
_cell_length_b 7.312
_cell_length_c 7.312
_cell_angle_alpha 149.74
_cell_angle_beta 143.33
_cell_angle_gamma 48.26
_space_group_name_H-M_alt 'P 1'
_space_group_IT_number 1
loop_
_space_group_symop_operation_xyz
'x,y,z'
loop_
_atom_site_label
_atom_site_type_symbol
_atom_site_fract_x
_atom_site_fract_y
_atom_site_fract_z
K1 K 0.000 0.000 0.000
Si1 Si 0.629 0.629 0.000
Si2 Si 0.741 0.241 0.500
Pb1 Pb 0.280 0.780 0.500
# spin magnetization = 0.0 Bohr magnetons per cell
# symmetry = Imm2
# theoretical density = 4.29 Mg/m³
# DFT total energy = -15.07 eV for the cell shown
# N(E_F) = 0.87 states/eV/f.u.


# 5
# MnCr4Se, relaxed, DFT GGA-PBE
data_MnCr4Se
_chemical_formula_sum 'Mn1 Cr4 Se1'
_cell_length_a 4.800
_cell_length_b 4.800
_cell_length_c 4.800
_cell_angle_alpha 60.00
_cell_angle_beta 60.00
_cell_angle_gamma 60.00
_space_group_name_H-M_alt 'P 1'
_space_group_IT_number 1
loop_
_space_group_symop_operation_xyz
'x,y,z'
loop_
_atom_site_label
_atom_site_type_symbol
_atom_site_fract_x
_atom_site_fract_y
_atom_site_fract_z
Mn1 Mn 0.000 0.000 0.000
Cr1 Cr 0.374 0.374 0.374
Cr2 Cr 0.374 0.374 0.877
Cr3 Cr 0.374 0.877 0.374
Cr4 Cr 0.877 0.374 0.374
Se1 Se 0.750 0.750 0.750
# spin magnetization = 2.1 Bohr magnetons per cell
# symmetry = F-43m
# theoretical density = 7.26 Mg/m³
# DFT total energy = -48.29 eV for the cell shown
# N(E_F) = 6.46 states/eV/f.u.


# 6
# Y8Re, relaxed, DFT GGA-PBE
data_Y8Re
_chemical_formula_sum 'Y8 Re1'
_cell_length_a 7.677
_cell_length_b 7.677
_cell_length_c 7.677
_cell_angle_alpha 95.81
_cell_angle_beta 95.81
_cell_angle_gamma 142.90
_space_group_name_H-M_alt 'P 1'
_space_group_IT_number 1
loop_
_space_group_symop_operation_xyz
'x,y,z'
loop_
_atom_site_label
_atom_site_type_symbol
_atom_site_fract_x
_atom_site_fract_y
_atom_site_fract_z
Y1 Y 0.000 0.317 0.317
Y2 Y 0.000 0.683 0.683
Y3 Y 0.317 0.000 0.317
Y4 Y 0.347 0.347 0.695
Y5 Y 0.347 0.653 0.000
Y6 Y 0.653 0.347 0.000
Y7 Y 0.653 0.653 0.305
Y8 Y 0.683 0.000 0.683
Re1 Re 0.000 0.000 0.000
# spin magnetization = 0.0 Bohr magnetons per cell
# symmetry = I4/mmm
# theoretical density = 5.76 Mg/m³
# E_form = 0.19 eV per atom
# DFT total energy = -62.49 eV for the cell shown
# N(E_F) = 11.17 states/eV/f.u.


# 7
# NdLuInIr, relaxed, DFT GGA-PBE
data_NdLuInIr
_chemical_formula_sum 'Nd1 Lu1 In1 Ir1'
_cell_length_a 5.114
_cell_length_b 5.114
_cell_length_c 5.114
_cell_angle_alpha 60.00
_cell_angle_beta 60.00
_cell_angle_gamma 60.00
_space_group_name_H-M_alt 'P 1'
_space_group_IT_number 1
loop_
_space_group_symop_operation_xyz
'x,y,z'
loop_
_atom_site_label
_atom_site_type_symbol
_atom_site_fract_x
_atom_site_fract_y
_atom_site_fract_z
Nd1 Nd 0.000 0.000 0.000
Lu1 Lu 0.500 0.500 0.500
In1 In 0.250 0.250 0.250
Ir1 Ir 0.750 0.750 0.750
# spin magnetization = 0.0 Bohr magnetons per cell
# symmetry = F-43m
# theoretical density = 10.99 Mg/m³
# E_form = -0.49 eV per atom
# DFT total energy = -22.83 eV for the cell shown
# N(E_F) = 2.88 states/eV/f.u.


# 8
# LiBC, relaxed, DFT GGA-PBE
data_LiBC
_chemical_formula_sum 'Li2 B2 C2'
_cell_length_a 8.754
_cell_length_b 8.754
_cell_length_c 2.434
_cell_angle_alpha 90.00
_cell_angle_beta 90.00
_cell_angle_gamma 159.28
_space_group_name_H-M_alt 'P 1'
_space_group_IT_number 1
loop_
_space_group_symop_operation_xyz
'x,y,z'
loop_
_atom_site_label
_atom_site_type_symbol
_atom_site_fract_x
_atom_site_fract_y
_atom_site_fract_z
Li1 Li 0.136 0.864 0.000
Li2 Li 0.864 0.136 0.000
B1 B 0.257 0.743 0.500
B2 B 0.743 0.257 0.500
C1 C 0.037 0.963 0.500
C2 C 0.963 0.037 0.500
# spin magnetization = 0.0 Bohr magnetons per cell
# symmetry = Cmmm
# theoretical density = 1.50 Mg/m³
# E_form = 0.76 eV per atom
# DFT total energy = -31.10 eV for the cell shown
# N(E_F) = 0.76 states/eV/f.u.